{
  "formula": "Zn2Hg2Te",
  "functional": "PBE",
  "state": "relaxed",
  "cell": [[4.198, 0.000, 0.000], [0.000, 4.198, 0.000], [0.000, 0.000, 13.225]],
  "species": ["Zn", "Zn", "Zn", "Zn", "Hg", "Hg", "Hg", "Hg", "Te", "Te"],
  "fractional_positions": [[0.000, 0.500, 0.250], [0.000, 0.500, 0.750], [0.500, 0.000, 0.250], [0.500, 0.000, 0.750], [0.000, 0.000, 0.111], [0.000, 0.000, 0.889], [0.500, 0.500, 0.389], [0.500, 0.500, 0.611], [0.000, 0.000, 0.500], [0.500, 0.500, 0.000]],
  "space_group": "I4/mmm",
  "dos_ef_per_ev_cell": 5.95,
  "e_form_raw_mev_per_atom": 137,
  "de_polymorph_mev_per_atom": 95
}